The following is a PBE-GGA calculation of crystalline NdLuZr at its relaxed geometry, from the Open Quantum Materials Database.

Calculated formation energy   0.791 eV per atom
Symmetry   F-43m

Geometry as CIF:
```
data_NdLuZr
_symmetry_space_group_name_H-M 'P 1'
_symmetry_Int_Tables_number 1
_cell_length_a 5.221
_cell_length_b 5.221
_cell_length_c 5.221
_cell_angle_alpha 60.00
_cell_angle_beta 60.00
_cell_angle_gamma 60.00
loop_
_symmetry_equiv_pos_as_xyz
'x,y,z'
loop_
_atom_site_label
_atom_site_fract_x
_atom_site_fract_y
_atom_site_fract_z
Nd1 0.000 0.000 0.000
Lu1 0.500 0.500 0.500
Zr1 0.750 0.750 0.750
```


The following is a PBE-GGA calculation of crystalline LuNi at its relaxed geometry, from the Open Quantum Materials Database.

Calculated formation energy   -0.213 eV per atom
Symmetry   P-6m2

Geometry as CIF:
```
data_LuNi
_symmetry_space_group_name_H-M 'P 1'
_symmetry_Int_Tables_number 1
_cell_length_a 3.552
_cell_length_b 3.552
_cell_length_c 3.551
_cell_angle_alpha 90.00
_cell_angle_beta 90.00
_cell_angle_gamma 120.00
loop_
_symmetry_equiv_pos_as_xyz
'x,y,z'
loop_
_atom_site_label
_atom_site_fract_x
_atom_site_fract_y
_atom_site_fract_z
Lu1 0.000 0.000 0.000
Ni1 0.667 0.333 0.500
```


The following is a PBE-GGA calculation of crystalline Lu2Ni17 at its relaxed geometry, from the Open Quantum Materials Database.

Calculated formation energy   -0.211 eV per atom
Symmetry   P6_3/mmc

Geometry as CIF:
```
data_Lu2Ni17
_symmetry_space_group_name_H-M 'P 1'
_symmetry_Int_Tables_number 1
_cell_length_a 8.201
_cell_length_b 8.201
_cell_length_c 7.973
_cell_angle_alpha 90.00
_cell_angle_beta 90.00
_cell_angle_gamma 120.00
loop_
_symmetry_equiv_pos_as_xyz
'x,y,z'
loop_
_atom_site_label
_atom_site_fract_x
_atom_site_fract_y
_atom_site_fract_z
Lu1 0.000 0.000 0.250
Lu2 0.000 0.000 0.750
Lu3 0.333 0.667 0.250
Lu4 0.667 0.333 0.750
Ni1 0.000 0.500 0.000
Ni2 0.000 0.500 0.500
Ni3 0.040 0.368 0.750
Ni4 0.040 0.673 0.750
Ni5 0.165 0.330 0.022
Ni6 0.165 0.330 0.478
Ni7 0.165 0.835 0.022
Ni8 0.165 0.835 0.478
Ni9 0.327 0.368 0.750
Ni10 0.327 0.960 0.750
Ni11 0.330 0.165 0.522
Ni12 0.330 0.165 0.978
Ni13 0.333 0.667 0.601
Ni14 0.333 0.667 0.899
Ni15 0.368 0.040 0.250
Ni16 0.368 0.327 0.250
Ni17 0.500 0.000 0.000
Ni18 0.500 0.000 0.500
Ni19 0.500 0.500 0.000
Ni20 0.500 0.500 0.500
Ni21 0.632 0.673 0.750
Ni22 0.632 0.960 0.750
Ni23 0.667 0.333 0.101
Ni24 0.667 0.333 0.399
Ni25 0.670 0.835 0.022
Ni26 0.670 0.835 0.478
Ni27 0.673 0.040 0.250
Ni28 0.673 0.632 0.250
Ni29 0.835 0.165 0.522
Ni30 0.835 0.165 0.978
Ni31 0.835 0.670 0.522
Ni32 0.835 0.670 0.978
Ni33 0.960 0.327 0.250
Ni34 0.960 0.632 0.250
```


The following is a PBE-GGA calculation of crystalline Lu3Ni at its relaxed geometry, from the Open Quantum Materials Database.

Calculated formation energy   0.108 eV per atom
Symmetry   I4/mmm

Geometry as CIF:
```
data_Lu3Ni
_symmetry_space_group_name_H-M 'P 1'
_symmetry_Int_Tables_number 1
_cell_length_a 5.891
_cell_length_b 5.891
_cell_length_c 5.891
_cell_angle_alpha 137.26
_cell_angle_beta 137.26
_cell_angle_gamma 62.04
loop_
_symmetry_equiv_pos_as_xyz
'x,y,z'
loop_
_atom_site_label
_atom_site_fract_x
_atom_site_fract_y
_atom_site_fract_z
Lu1 0.000 0.000 0.000
Lu2 0.250 0.750 0.500
Lu3 0.750 0.250 0.500
Ni1 0.500 0.500 0.000
```


Copy entry 2 word for word.
The following is a PBE-GGA calculation of crystalline LuNi at its relaxed geometry, from the Open Quantum Materials Database.

Calculated formation energy   -0.213 eV per atom
Symmetry   P-6m2

Geometry as CIF:
```
data_LuNi
_symmetry_space_group_name_H-M 'P 1'
_symmetry_Int_Tables_number 1
_cell_length_a 3.552
_cell_length_b 3.552
_cell_length_c 3.551
_cell_angle_alpha 90.00
_cell_angle_beta 90.00
_cell_angle_gamma 120.00
loop_
_symmetry_equiv_pos_as_xyz
'x,y,z'
loop_
_atom_site_label
_atom_site_fract_x
_atom_site_fract_y
_atom_site_fract_z
Lu1 0.000 0.000 0.000
Ni1 0.667 0.333 0.500
```


- Among the records above, which one has the highest calculated formation energy?
  NdLuZr


What did the fourth record say?
The following is a PBE-GGA calculation of crystalline Lu3Ni at its relaxed geometry, from the Open Quantum Materials Database.

Calculated formation energy   0.108 eV per atom
Symmetry   I4/mmm

Geometry as CIF:
```
data_Lu3Ni
_symmetry_space_group_name_H-M 'P 1'
_symmetry_Int_Tables_number 1
_cell_length_a 5.891
_cell_length_b 5.891
_cell_length_c 5.891
_cell_angle_alpha 137.26
_cell_angle_beta 137.26
_cell_angle_gamma 62.04
loop_
_symmetry_equiv_pos_as_xyz
'x,y,z'
loop_
_atom_site_label
_atom_site_fract_x
_atom_site_fract_y
_atom_site_fract_z
Lu1 0.000 0.000 0.000
Lu2 0.250 0.750 0.500
Lu3 0.750 0.250 0.500
Ni1 0.500 0.500 0.000
```


- The highest calculated formation energy belongs to which entry?
  NdLuZr